A relaxed TbPaCoTc crystal, computed with PBE.

Summary:
The calculation puts the final energy at -32.00 eV/f.u. As for the density of states at the Fermi level: 2.33 states/eV/cell. The formation energy is -100 meV per atom. Its space group is F-43m (216).

Unit cell a=4.803 b=4.803 c=4.803 alpha=60.00 beta=60.00 gamma=60.00
Element x y z (fractional)
Tb  0.250  0.250  0.250
Pa  0.750  0.750  0.750
Co  0.500  0.500  0.500
Tc  0.000  0.000  0.000

A relaxed Ce2NdTmBi5 crystal, computed with PBE.

Summary:
The calculation puts the final energy at -40.34 eV/f.u. As for the density of states at the Fermi level: 18.35 states/eV/cell. The formation energy is 20 meV per atom. Its space group is P4/mmm (123).

Unit cell a=5.604 b=5.604 c=11.845 alpha=90.00 beta=90.00 gamma=90.00
Element x y z (fractional)
Nd  0.000  0.000  0.500
Tm  0.000  0.000  0.000
Ce  0.500  0.500  0.285
Ce  0.500  0.500  0.715
Bi  0.000  0.000  0.757
Bi  0.000  0.000  0.243
Bi  0.500  0.500  0.000
Bi  0.500  0.000  0.500
Bi  0.000  0.500  0.500

A relaxed Cu3Ag crystal, computed with PBE.

Summary:
The calculation puts the final energy at -14.72 eV/f.u. As for the density of states at the Fermi level: 1.52 states/eV/cell. The formation energy is 105 meV per atom. Its space group is Cmmm (65).

Unit cell a=4.614 b=4.614 c=2.698 alpha=90.00 beta=90.00 gamma=108.95
Element x y z (fractional)
Cu  0.500  0.500  0.000
Cu  0.000  0.500  0.500
Cu  0.500  0.000  0.500
Ag  0.000  0.000  0.000

A relaxed Sr4TmIn5 crystal, computed with PBE.

Summary:
The calculation puts the final energy at -29.09 eV/f.u. As for the density of states at the Fermi level: 7.05 states/eV/cell. The formation energy is -420 meV per atom. Its space group is P4/mmm (123).

Unit cell a=3.976 b=3.976 c=20.203 alpha=90.00 beta=90.00 gamma=90.00
Element x y z (fractional)
In  0.500  0.500  0.083
In  0.500  0.500  0.500
In  0.500  0.500  0.705
In  0.500  0.500  0.917
In  0.500  0.500  0.295
Sr  0.000  0.000  0.191
Sr  0.000  0.000  0.397
Sr  0.000  0.000  0.603
Sr  0.000  0.000  0.809
Tm  0.000  0.000  0.000

A relaxed YCr2Co crystal, computed with PBE.

Summary:
The calculation puts the final energy at -31.42 eV/f.u. As for the density of states at the Fermi level: 3.36 states/eV/cell. The formation energy is 350 meV per atom. The energy above the most stable polymorph in this dataset is 0.16 eV per formula unit. Its space group is F-43m (216).

Unit cell a=4.493 b=4.493 c=4.493 alpha=60.00 beta=60.00 gamma=60.00
Element x y z (fractional)
Cr  0.000  0.000  0.000
Cr  0.250  0.250  0.250
Y  0.750  0.750  0.750
Co  0.500  0.500  0.500

A relaxed KAcAgPt crystal, computed with PBE.

Summary:
The calculation puts the final energy at -15.17 eV/f.u. As for the density of states at the Fermi level: 2.04 states/eV/cell. The formation energy is -269 meV per atom. Its space group is F-43m (216).

Unit cell a=5.384 b=5.384 c=5.384 alpha=60.00 beta=60.00 gamma=60.00
Element x y z (fractional)
K  0.000  0.000  0.000
Ac  0.500  0.500  0.500
Ag  0.750  0.750  0.750
Pt  0.250  0.250  0.250

A relaxed Pa3GeTe6 crystal, computed with PBE.

Summary:
The calculation puts the final energy at -58.00 eV/f.u. As for the density of states at the Fermi level: 22.81 states/eV/cell. The value obtained for the raw formation energy is -0.60 eV per atom. Its space group is Cmc2_1 (36).

Unit cell a=7.312 b=9.521 c=9.521 alpha=105.00 beta=90.00 gamma=90.00
Element x y z (fractional)
Te  0.291  0.959  0.041
Te  0.199  0.094  0.537
Te  0.641  0.641  0.711
Te  0.625  0.253  0.747
Te  0.141  0.359  0.289
Te  0.125  0.747  0.253
Te  0.699  0.906  0.463
Te  0.199  0.463  0.906
Te  0.141  0.711  0.641
Te  0.699  0.537  0.094
Te  0.791  0.041  0.959
Te  0.641  0.289  0.359
Pa  0.845  0.596  0.404
Pa  0.953  0.048  0.268
Pa  0.453  0.268  0.048
Pa  0.345  0.404  0.596
Pa  0.953  0.732  0.952
Pa  0.453  0.952  0.732
Ge  0.640  0.864  0.136
Ge  0.140  0.136  0.864

A relaxed Hf4NbGa5 crystal, computed with PBE.

Summary:
The calculation puts the final energy at -66.23 eV/f.u. As for the density of states at the Fermi level: 6.64 states/eV/cell. The formation energy is -121 meV per atom. Its space group is I4/m (87).

Unit cell a=5.414 b=6.629 c=6.629 alpha=80.40 beta=65.90 gamma=65.90
Element x y z (fractional)
Hf  0.804  0.792  0.602
Hf  0.596  0.602  0.208
Hf  0.406  0.398  0.792
Hf  0.198  0.208  0.398
Ga  0.101  0.609  0.191
Ga  0.710  0.191  0.391
Ga  0.901  0.391  0.809
Ga  0.292  0.809  0.609
Ga  0.501  0.000  0.000
Nb  0.001  0.000  0.000

A relaxed Sc4Ta crystal, computed with PBE.

Summary:
The calculation puts the final energy at -36.53 eV/f.u. As for the density of states at the Fermi level: 6.12 states/eV/cell. The formation energy is 129 meV per atom. The energy above the most stable polymorph in this dataset is 0.00 eV per formula unit. Its space group is I4/m (87).

Unit cell a=5.502 b=5.502 c=5.502 alpha=99.22 beta=99.22 gamma=132.82
Element x y z (fractional)
Sc  0.789  0.604  0.394
Sc  0.396  0.789  0.185
Sc  0.604  0.211  0.815
Sc  0.211  0.396  0.606
Ta  0.000  0.000  0.000

A relaxed Ba2Sr2PdAu2 crystal, computed with PBE.

Summary:
The calculation puts the final energy at -23.01 eV/f.u. As for the density of states at the Fermi level: 4.10 states/eV/cell. The formation energy is -580 meV per atom. Its space group is C2/m (12).

Unit cell a=4.406 b=8.072 c=8.691 alpha=62.95 beta=90.00 gamma=74.16
Element x y z (fractional)
Ba  0.537  0.926  0.772
Ba  0.463  0.074  0.228
Pd  0.000  0.000  0.000
Sr  0.787  0.427  0.718
Sr  0.213  0.573  0.282
Au  0.886  0.229  0.455
Au  0.114  0.771  0.545

A relaxed LaGaBi2 crystal, computed with PBE.

Summary:
The calculation puts the final energy at -16.97 eV/f.u. As for the density of states at the Fermi level: 5.20 states/eV/cell. The formation energy is -313 meV per atom. Its space group is I-42d (122).

Unit cell a=8.157 b=8.157 c=6.953 alpha=54.09 beta=54.09 gamma=90.00
Element x y z (fractional)
Ga  0.250  0.750  0.500
Ga  0.500  0.500  0.000
La  0.000  0.000  0.000
La  0.750  0.250  0.500
Bi  0.179  0.625  0.250
Bi  0.375  0.429  0.750
Bi  0.571  0.125  0.250
Bi  0.875  0.821  0.750

A relaxed CaMg2Te crystal, computed with PBE.

Summary:
The calculation puts the final energy at -10.02 eV/f.u. As for the density of states at the Fermi level: 0.62 states/eV/cell. The value obtained for the raw formation energy is -0.42 eV per atom. Its space group is Cm (8).

Unit cell a=5.477 b=5.477 c=6.019 alpha=73.06 beta=73.06 gamma=42.91
Element x y z (fractional)
Mg  0.016  0.016  0.924
Mg  0.765  0.765  0.787
Ca  0.235  0.235  0.276
Te  0.483  0.483  0.513

A relaxed Be2Ru2C crystal, computed with PBE.

Summary:
The calculation puts the final energy at -27.22 eV/f.u. As for the density of states at the Fermi level: 4.52 states/eV/cell. The formation energy is 1601 meV per atom. The energy above the most stable polymorph in this dataset is 5.23 eV per formula unit. Its space group is I4/mmm (139).

Unit cell a=3.463 b=3.463 c=5.864 alpha=72.83 beta=72.83 gamma=90.00
Element x y z (fractional)
C  0.000  0.000  0.000
Ru  0.750  0.250  0.500
Ru  0.250  0.750  0.500
Be  0.403  0.403  0.193
Be  0.597  0.597  0.807

For each record above, in turn, the calculated M_tot values are 0.5; 2.1; 0.0; 0.0; 0.7; 0.0; 3.1; 0.0; 0.0; 0.0; 0.0; 0.0; 0.0 Bohr magnetons per cell.